! PBE-GGA MgHg3S, optimized geometry; values from VASP
! - ΔE_f (raw) (eV per formula unit) = 1.6
! - electronic total energy (eV per atom) = -1.000
! - crystal system = cubic
&SYSTEM
  ibrav = 0, nat = 5, ntyp = 3
/
ATOMIC_SPECIES
Mg 24.30 Mg.upf
Hg 200.59 Hg.upf
S 32.06 S.upf
ATOMIC_POSITIONS crystal
Mg 0.000 0.000 0.000
Hg 0.000 0.500 0.500
Hg 0.500 0.000 0.500
Hg 0.500 0.500 0.000
S 0.500 0.500 0.500
CELL_PARAMETERS angstrom
5.348 0.000 0.000
0.000 5.348 0.000
0.000 0.000 5.348

! PBE-GGA K2InF5, optimized geometry; values from VASP
! - ΔE_f (raw) (eV per formula unit) = -21.0
! - electronic total energy (eV per atom) = -4.417
! - crystal system = monoclinic
&SYSTEM
  ibrav = 0, nat = 16, ntyp = 3
/
ATOMIC_SPECIES
K 39.10 K.upf
In 114.82 In.upf
F 19.00 F.upf
ATOMIC_POSITIONS crystal
K 0.000 0.228 0.000
K 0.000 0.772 0.000
K 0.500 0.272 0.000
K 0.500 0.728 0.000
In 0.326 0.500 0.280
In 0.826 0.000 0.280
F 0.037 0.000 0.302
F 0.083 0.500 0.106
F 0.298 0.288 0.154
F 0.298 0.712 0.154
F 0.406 0.500 0.677
F 0.537 0.500 0.302
F 0.583 0.000 0.106
F 0.798 0.212 0.154
F 0.798 0.788 0.154
F 0.906 0.000 0.677
CELL_PARAMETERS angstrom
10.138 0.000 0.000
0.000 9.293 0.000
-3.386 0.000 4.975

! PBE-GGA ReP2Pt, optimized geometry; values from VASP
! - ΔE_f (eV/atom) = 0.2795
! - electronic total energy (eV per atom) = -7.048
! - crystal system = orthorhombic
&SYSTEM
  ibrav = 0, nat = 16, ntyp = 3
/
ATOMIC_SPECIES
Re 186.21 Re.upf
P 30.97 P.upf
Pt 195.08 Pt.upf
ATOMIC_POSITIONS crystal
Re 0.000 0.000 0.000
Re 0.000 0.500 0.500
Re 0.500 0.000 0.500
Re 0.500 0.500 0.000
P 0.000 0.250 0.250
P 0.000 0.250 0.750
P 0.000 0.750 0.250
P 0.000 0.750 0.750
P 0.500 0.250 0.250
P 0.500 0.250 0.750
P 0.500 0.750 0.250
P 0.500 0.750 0.750
Pt 0.000 0.000 0.500
Pt 0.000 0.500 0.000
Pt 0.500 0.000 0.000
Pt 0.500 0.500 0.500
CELL_PARAMETERS angstrom
5.601 0.000 0.000
0.000 5.734 0.000
0.000 0.000 7.823

! PBE-GGA Zr6PdN4, optimized geometry; values from VASP
! - ΔE_f (raw) (eV per formula unit) = -15.2
! - electronic total energy (eV per atom) = -9.543
! - crystal system = orthorhombic
&SYSTEM
  ibrav = 0, nat = 22, ntyp = 3
/
ATOMIC_SPECIES
Zr 91.22 Zr.upf
Pd 106.42 Pd.upf
N 14.01 N.upf
ATOMIC_POSITIONS crystal
Zr 0.000 0.000 0.000
Zr 0.000 0.000 0.500
Zr 0.150 0.850 0.750
Zr 0.277 0.723 0.078
Zr 0.277 0.723 0.422
Zr 0.464 0.536 0.649
Zr 0.464 0.536 0.851
Zr 0.536 0.464 0.149
Zr 0.536 0.464 0.351
Zr 0.723 0.277 0.578
Zr 0.723 0.277 0.922
Zr 0.850 0.150 0.250
Pd 0.160 0.840 0.250
Pd 0.840 0.160 0.750
N 0.095 0.905 0.621
N 0.095 0.905 0.879
N 0.362 0.638 0.539
N 0.362 0.638 0.961
N 0.638 0.362 0.039
N 0.638 0.362 0.461
N 0.905 0.095 0.121
N 0.905 0.095 0.379
CELL_PARAMETERS angstrom
1.662 -5.578 0.000
1.662 5.578 0.000
0.000 0.000 17.366

! PBE-GGA Ca4Tl3O9, optimized geometry; values from VASP
! - ΔE_f (raw) (eV per formula unit) = -28.2
! - electronic total energy (eV per atom) = -5.495
! - crystal system = monoclinic
&SYSTEM
  ibrav = 0, nat = 16, ntyp = 3
/
ATOMIC_SPECIES
Ca 40.08 Ca.upf
Tl 204.38 Tl.upf
O 16.00 O.upf
ATOMIC_POSITIONS crystal
Ca 0.045 0.045 0.283
Ca 0.261 0.261 0.127
Ca 0.739 0.739 0.873
Ca 0.955 0.955 0.717
Tl 0.351 0.351 0.437
Tl 0.500 0.500 0.000
Tl 0.649 0.649 0.563
O 0.000 0.000 0.500
O 0.125 0.125 0.945
O 0.308 0.308 0.601
O 0.376 0.376 0.836
O 0.405 0.405 0.285
O 0.595 0.595 0.715
O 0.624 0.624 0.164
O 0.692 0.692 0.399
O 0.875 0.875 0.055
CELL_PARAMETERS angstrom
5.637 -1.697 0.000
5.637 1.697 0.000
-2.604 0.000 12.092

! PBE-GGA Dy2Th3Sc4, optimized geometry; values from VASP
! - ΔE_f (eV/atom) = 0.1015
! - electronic total energy (eV per atom) = -6.209
! - crystal system = trigonal
&SYSTEM
  ibrav = 0, nat = 9, ntyp = 3
/
ATOMIC_SPECIES
Dy 162.50 Dy.upf
Th 232.04 Th.upf
Sc 44.96 Sc.upf
ATOMIC_POSITIONS crystal
Dy 0.000 0.000 0.000
Dy 0.000 0.000 0.232
Th 0.000 0.000 0.784
Th 0.333 0.667 0.119
Th 0.333 0.667 0.464
Sc 0.000 0.000 0.357
Sc 0.000 0.000 0.575
Sc 0.333 0.667 0.674
Sc 0.333 0.667 0.893
CELL_PARAMETERS angstrom
3.446 0.000 0.000
-1.723 2.984 0.000
0.000 0.000 25.339

! PBE-GGA AlGeTe, optimized geometry; values from VASP
! - ΔE_f (raw) (eV per formula unit) = -0.3
! - electronic total energy (eV per atom) = -3.941
! - crystal system = orthorhombic
&SYSTEM
  ibrav = 0, nat = 12, ntyp = 3
/
ATOMIC_SPECIES
Al 26.98 Al.upf
Ge 72.64 Ge.upf
Te 127.60 Te.upf
ATOMIC_POSITIONS crystal
Al 0.000 0.103 0.250
Al 0.000 0.897 0.750
Al 0.500 0.397 0.750
Al 0.500 0.603 0.250
Ge 0.000 0.471 0.750
Ge 0.000 0.529 0.250
Ge 0.500 0.029 0.250
Ge 0.500 0.971 0.750
Te 0.000 0.173 0.750
Te 0.000 0.827 0.250
Te 0.500 0.327 0.250
Te 0.500 0.673 0.750
CELL_PARAMETERS angstrom
3.635 0.000 0.000
0.000 23.657 0.000
0.000 0.000 4.081

! PBE-GGA MgFeSb2, optimized geometry; values from VASP
! - ΔE_f (raw) (eV per formula unit) = 1.0
! - electronic total energy (eV per atom) = -4.326
! - crystal system = orthorhombic
&SYSTEM
  ibrav = 0, nat = 8, ntyp = 3
/
ATOMIC_SPECIES
Mg 24.30 Mg.upf
Fe 55.84 Fe.upf
Sb 121.76 Sb.upf
ATOMIC_POSITIONS crystal
Mg 0.000 0.000 0.000
Mg 0.500 0.500 0.000
Fe 0.000 0.500 0.000
Fe 0.500 0.000 0.000
Sb 0.250 0.250 0.500
Sb 0.250 0.750 0.500
Sb 0.750 0.250 0.500
Sb 0.750 0.750 0.500
CELL_PARAMETERS angstrom
6.163 0.000 0.000
0.000 7.514 0.000
0.000 0.000 3.653

! PBE-GGA LaZnPt2, optimized geometry; values from VASP
! - ΔE_f (eV/atom) = -0.6685
! - electronic total energy (eV per atom) = -5.239
! - crystal system = monoclinic
&SYSTEM
  ibrav = 0, nat = 8, ntyp = 3
/
ATOMIC_SPECIES
La 138.91 La.upf
Zn 65.41 Zn.upf
Pt 195.08 Pt.upf
ATOMIC_POSITIONS crystal
La 0.000 0.000 0.000
La 0.500 0.500 0.000
Zn 0.000 0.500 0.000
Zn 0.500 0.000 0.000
Pt 0.250 0.250 0.500
Pt 0.250 0.750 0.500
Pt 0.750 0.250 0.500
Pt 0.750 0.750 0.500
CELL_PARAMETERS angstrom
6.063 0.000 0.000
0.000 6.884 0.000
-0.014 0.000 3.817

! PBE-GGA Hf2CdAgH, optimized geometry; values from VASP
! - electronic total energy (eV per atom) = -5.443
! - crystal system = tetragonal
&SYSTEM
  ibrav = 0, nat = 5, ntyp = 4
/
ATOMIC_SPECIES
Hf 178.49 Hf.upf
Cd 112.41 Cd.upf
Ag 107.87 Ag.upf
H 1.01 H.upf
ATOMIC_POSITIONS crystal
Hf 0.000 0.500 0.000
Hf 0.500 0.000 0.000
Cd 0.000 0.000 0.500
Ag 0.500 0.500 0.500
H 0.500 0.500 0.000
CELL_PARAMETERS angstrom
4.342 0.000 0.000
0.000 4.342 0.000
0.000 0.000 4.407

! PBE-GGA CePr2Cu2Ge2, optimized geometry; values from VASP
! - ΔE_f (eV/atom) = -0.4590
! - electronic total energy (eV per atom) = -5.162
! - crystal system = trigonal
&SYSTEM
  ibrav = 0, nat = 7, ntyp = 4
/
ATOMIC_SPECIES
Ce 140.12 Ce.upf
Pr 140.91 Pr.upf
Cu 63.55 Cu.upf
Ge 72.64 Ge.upf
ATOMIC_POSITIONS crystal
Ce 0.000 0.000 0.000
Pr 0.123 0.123 0.123
Pr 0.877 0.877 0.877
Cu 0.394 0.394 0.394
Cu 0.606 0.606 0.606
Ge 0.272 0.272 0.272
Ge 0.728 0.728 0.728
CELL_PARAMETERS angstrom
2.156 1.244 10.198
-2.156 1.244 10.198
0.000 -2.489 10.198

! PBE-GGA CdTe, optimized geometry; values from VASP
! - ΔE_f (raw) (eV per formula unit) = -0.4
! - electronic total energy (eV per atom) = -2.240
! - crystal system = hexagonal
&SYSTEM
  ibrav = 0, nat = 6, ntyp = 2
/
ATOMIC_SPECIES
Cd 112.41 Cd.upf
Te 127.60 Te.upf
ATOMIC_POSITIONS crystal
Cd 0.000 0.380 0.000
Cd 0.380 0.000 0.000
Cd 0.620 0.620 0.000
Te 0.000 0.000 0.000
Te 0.333 0.667 0.500
Te 0.667 0.333 0.500
CELL_PARAMETERS angstrom
7.466 0.000 0.000
-3.733 6.465 0.000
0.000 0.000 3.955

> The lowest electronic total energy belongs to which entry?

Zr6PdN4

> The lowest electronic total energy belongs to which entry?

Zr6PdN4

> Among the records above, which one has the highest electronic total energy?

MgHg3S